A plane-wave DFT calculation with PBE-GGA was carried out for Sm5N4 after structural relaxation.

The value obtained for the density of states at the Fermi level is 4.91 states/eV per cell. As for the total magnetization: 0.00 μB per formula unit. The value obtained for the electronic total energy is -7.37 eV per atom. The calculation puts the energy relative to the elements, uncorrected at -1.05 eV/atom. As for the relative energy among the computed polymorphs: 0.000 eV/atom.

It has space group I4/m (No. 87), with a = 10.0373 Å, b = 10.0373 Å, c = 3.6980 Å, α = 90.00°, β = 90.00° and γ = 90.00°. The asymmetric unit holds Sm at (0.0000, 0.0000, 0.0000), Sm at (0.1012, 0.2602, 0.5000) and N at (0.1346, 0.8037, 0.0000).


A plane-wave DFT calculation with PBE-GGA was carried out for Sm3N2 after structural relaxation.

The value obtained for the density of states at the Fermi level is 22.41 states/eV per cell. As for the total magnetization: 0.00 μB per formula unit. The value obtained for the electronic total energy is -7.21 eV per atom. The calculation puts the energy relative to the elements, uncorrected at -1.05 eV/atom.

It has space group R-3c (No. 167, hexagonal axes), with a = 6.1554 Å, b = 6.1554 Å, c = 17.7790 Å, α = 90.00°, β = 90.00° and γ = 120.00°. The asymmetric unit holds Sm at (0.0000, 0.3232, 0.2500) and N at (0.0000, 0.0000, 0.1621).


A plane-wave DFT calculation with PBE-GGA was carried out for Sm6N5 after structural relaxation.

The value obtained for the density of states at the Fermi level is 8.32 states/eV per cell. As for the total magnetization: 0.32 μB per formula unit. The value obtained for the electronic total energy is -7.72 eV per atom. The calculation puts the energy relative to the elements, uncorrected at -1.36 eV/atom.

It has space group C2/m (No. 12), with a = 6.2526 Å, b = 10.8102 Å, c = 6.2439 Å, α = 90.00°, β = 109.77° and γ = 90.00°. The asymmetric unit holds Sm at (0.2356, 0.0000, 0.2634), Sm at (0.2402, 0.1753, 0.7463), N at (0.0000, 0.0000, 0.5000), N at (0.0000, 0.1658, 0.0000) and N at (0.0000, 0.3290, 0.5000).


A plane-wave DFT calculation with PBE-GGA was carried out for SmN4 after structural relaxation.

The value obtained for the density of states at the Fermi level is 3.72 states/eV per cell. As for the total magnetization: 9.00 μB per formula unit. The value obtained for the electronic total energy is -5.01 eV per atom. The calculation puts the energy relative to the elements, uncorrected at 2.59 eV/atom. As for the relative energy among the computed polymorphs: 2.915 eV/atom.

It has space group Pm-3m (No. 221), with a = 4.7998 Å, b = 4.7998 Å, c = 4.7998 Å, α = 90.00°, β = 90.00° and γ = 90.00°. The asymmetric unit holds Sm at (0.0000, 0.0000, 0.0000), N at (0.0000, 0.0000, 0.5000) and N at (0.5000, 0.5000, 0.5000).


A plane-wave DFT calculation with PBE-GGA was carried out for Sm3N2 after structural relaxation.

The value obtained for the density of states at the Fermi level is 10.63 states/eV per cell. As for the total magnetization: 0.01 μB per formula unit. The value obtained for the electronic total energy is -7.33 eV per atom. The calculation puts the energy relative to the elements, uncorrected at -1.17 eV/atom.

It has space group R-3m (No. 166, hexagonal axes), with a = 3.5857 Å, b = 3.5857 Å, c = 27.5892 Å, α = 90.00°, β = 90.00° and γ = 120.00°. The asymmetric unit holds Sm at (0.0000, 0.0000, 0.0000), Sm at (0.0000, 0.0000, 0.2318) and N at (0.0000, 0.0000, 0.3893).


A plane-wave DFT calculation with PBE-GGA was carried out for Sm3N after structural relaxation.

The value obtained for the density of states at the Fermi level is 19.12 states/eV per cell. As for the total magnetization: 0.00 μB per formula unit. The value obtained for the electronic total energy is -6.22 eV per atom. The calculation puts the energy relative to the elements, uncorrected at -0.60 eV/atom. As for the relative energy among the computed polymorphs: 0.000 eV/atom.

It has space group Pnma (No. 62), with a = 7.1354 Å, b = 9.5639 Å, c = 6.0122 Å, α = 90.00°, β = 90.00° and γ = 90.00°. The asymmetric unit holds Sm at (0.0002, 0.2500, 0.2051), Sm at (0.2493, 0.0727, 0.7490) and N at (0.0000, 0.0000, 0.0000).


A plane-wave DFT calculation with PBE-GGA was carried out for SmN4 after structural relaxation.

The value obtained for the density of states at the Fermi level is 6.47 states/eV per cell. As for the total magnetization: 0.00 μB per formula unit. The value obtained for the electronic total energy is -7.93 eV per atom. The calculation puts the energy relative to the elements, uncorrected at -0.32 eV/atom. As for the relative energy among the computed polymorphs: 0.000 eV/atom.

It has space group C2/c (No. 15), with a = 9.3486 Å, b = 4.2480 Å, c = 7.6041 Å, α = 90.00°, β = 122.98° and γ = 90.00°. The asymmetric unit holds Sm at (0.0000, 0.1757, 0.2500), N at (0.0998, 0.2575, 0.9818) and N at (0.1904, 0.4675, 0.0907).


A plane-wave DFT calculation with PBE-GGA was carried out for Sm3N after structural relaxation.

The value obtained for the density of states at the Fermi level is 11.82 states/eV per cell. As for the total magnetization: 0.00 μB per formula unit. The value obtained for the electronic total energy is -6.01 eV per atom. The calculation puts the energy relative to the elements, uncorrected at -0.39 eV/atom. As for the relative energy among the computed polymorphs: 0.207 eV/atom.

It has space group Imm2 (No. 44), with a = 3.3343 Å, b = 10.0906 Å, c = 6.0887 Å, α = 90.00°, β = 90.00° and γ = 90.00°. The asymmetric unit holds Sm at (0.0000, 0.0000, 0.0000), Sm at (0.0000, 0.1620, 0.4721) and N at (0.0000, 0.5000, 0.7821).


A plane-wave DFT calculation with PBE-GGA was carried out for Sm3N2 after structural relaxation.

The value obtained for the density of states at the Fermi level is 14.69 states/eV per cell. As for the total magnetization: 0.16 μB per formula unit. The value obtained for the electronic total energy is -7.32 eV per atom. The calculation puts the energy relative to the elements, uncorrected at -1.16 eV/atom.

It has space group C2/m (No. 12), with a = 6.2720 Å, b = 10.8148 Å, c = 6.3250 Å, α = 90.00°, β = 109.67° and γ = 90.00°. The asymmetric unit holds Sm at (0.2308, 0.0000, 0.2430), Sm at (0.2469, 0.1587, 0.7682), N at (0.0000, 0.0000, 0.5000), N at (0.0000, 0.1625, 0.0000) and N at (0.0000, 0.5000, 0.0000).


A plane-wave DFT calculation with PBE-GGA was carried out for SmN after structural relaxation.

The value obtained for the density of states at the Fermi level is 1.11 states/eV per cell. As for the total magnetization: 0.00 μB per formula unit. The value obtained for the electronic total energy is -8.00 eV per atom. The calculation puts the energy relative to the elements, uncorrected at -1.48 eV/atom.

It has space group Fm-3m (No. 225), with a = 5.0745 Å, b = 5.0745 Å, c = 5.0745 Å, α = 90.00°, β = 90.00° and γ = 90.00°. The asymmetric unit holds Sm at (0.0000, 0.0000, 0.0000) and N at (0.0000, 0.0000, 0.5000).


A plane-wave DFT calculation with PBE-GGA was carried out for Sm5N4 after structural relaxation.

The value obtained for the density of states at the Fermi level is 6.19 states/eV per cell. As for the total magnetization: 0.00 μB per formula unit. The value obtained for the electronic total energy is -6.63 eV per atom. The calculation puts the energy relative to the elements, uncorrected at -0.31 eV/atom. As for the relative energy among the computed polymorphs: 0.747 eV/atom.

It has space group I4/mmm (No. 139), with a = 10.6021 Å, b = 10.6021 Å, c = 3.1860 Å, α = 90.00°, β = 90.00° and γ = 90.00°. The asymmetric unit holds Sm at (0.0000, 0.0000, 0.0000), Sm at (0.0000, 0.2600, 0.0000) and N at (0.1390, 0.1390, 0.5000).


A plane-wave DFT calculation with PBE-GGA was carried out for Sm6Sn3N2 after structural relaxation.

The value obtained for the density of states at the Fermi level is 3.00 states/eV per cell. As for the total magnetization: 0.00 μB per formula unit. The value obtained for the electronic total energy is -6.15 eV per atom. The calculation puts the energy relative to the elements, uncorrected at -0.97 eV/atom.

It has space group I4/mmm (No. 139), with a = 4.8177 Å, b = 4.8177 Å, c = 25.5828 Å, α = 90.00°, β = 90.00° and γ = 90.00°. The asymmetric unit holds Sm at (0.0000, 0.0000, 0.1928), Sm at (0.0000, 0.5000, 0.0842), Sn at (0.0000, 0.0000, 0.3227), Sn at (0.0000, 0.0000, 0.5000) and N at (0.0000, 0.0000, 0.1029).


The highest total magnetization belongs to which entry?
number 4


What did the first record say?
A plane-wave DFT calculation with PBE-GGA was carried out for Sm5N4 after structural relaxation.

The value obtained for the density of states at the Fermi level is 4.91 states/eV per cell. As for the total magnetization: 0.00 μB per formula unit. The value obtained for the electronic total energy is -7.37 eV per atom. The calculation puts the energy relative to the elements, uncorrected at -1.05 eV/atom. As for the relative energy among the computed polymorphs: 0.000 eV/atom.

It has space group I4/m (No. 87), with a = 10.0373 Å, b = 10.0373 Å, c = 3.6980 Å, α = 90.00°, β = 90.00° and γ = 90.00°. The asymmetric unit holds Sm at (0.0000, 0.0000, 0.0000), Sm at (0.1012, 0.2602, 0.5000) and N at (0.1346, 0.8037, 0.0000).